Entry 1:
FeRe2Ru PBE-GGA relaxed; D(E_F) = 4.4 states/eV/f.u.; DFT total energy = -42.37 eV per cell; formation energy = 0.3 eV per formula unit; calculated volume = 13.78 Å³ per atom
1.0
3.7927 0.0000 0.0000
0.0000 3.7927 0.0000
0.0000 0.0000 3.8310
Fe Re Ru
1 2 1
Direct
0.0000 0.0000 0.0000
0.0000 0.5000 0.5000
0.5000 0.0000 0.5000
0.5000 0.5000 0.0000

Entry 2:
DyYSc6 PBE-GGA relaxed; D(E_F) = 15.2 states/eV/f.u.; DFT total energy = -48.95 eV per cell; formation energy = 0.1 eV per formula unit; calculated volume = 26.42 Å³ per atom
1.0
6.7850 0.0000 0.0000
-3.3925 5.8760 0.0000
0.0000 0.0000 5.3010
Dy Y Sc
1 1 6
Direct
0.0000 0.0000 0.0000
0.6667 0.3333 0.5000
0.0087 0.5044 0.0000
0.1705 0.3410 0.5000
0.1705 0.8295 0.5000
0.4956 0.5044 0.0000
0.4956 0.9913 0.0000
0.6590 0.8295 0.5000

no.,calculated density (g/cm³)
1,15.9
2,4.1